DFT (PBE) results for a relaxed structure of MgTeN2O.

mass density = 5141 kg/m³
E = -4.37 eV per atom
M_tot = 2.07 μB per cell

CIF file:
```
data_MgTeN2O
_cell_length_a 4.104
_cell_length_b 4.104
_cell_length_c 3.758
_cell_angle_alpha 90.00
_cell_angle_beta 90.00
_cell_angle_gamma 90.00
_space_group_name_H-M_alt 'P 4/m m m'
_space_group_IT_number 123
_space_group_name_Hall '-P 4 2'
loop_
_atom_site_label
_atom_site_type_symbol
_atom_site_fract_x
_atom_site_fract_y
_atom_site_fract_z
Mg1 Mg 0.000 0.000 0.000
Te1 Te 0.500 0.500 0.500
N1 N 0.000 0.500 0.000
O1 O 0.000 0.000 0.500
```